A plane-wave DFT calculation with SCAN was carried out for YCoRh at its PBEsol-relaxed geometry.

* symmetry: F-43m (216)
* energy relative to the elements: 486 meV/atom

Lattice parameters (Å, degrees): 4.3016 4.3016 4.3016 60.00 60.00 60.00
Closest atoms and distances in Å follow each position.
Fractional positions:
Co 0.0000 0.0000 0.0000  4 Y 2.63
Y 0.2500 0.2500 0.2500  4 Co 2.63, 4 Rh 2.63
Rh 0.5000 0.5000 0.5000  4 Y 2.63

***

A plane-wave DFT calculation with SCAN was carried out for KIrW2 at its PBEsol-relaxed geometry.

* symmetry: C2/m (12)
* energy relative to the elements: 1401 meV/atom

Lattice parameters (Å, degrees): 2.6951 5.3408 5.4946 116.11 98.88 100.78
Closest atoms and distances in Å follow each position.
Fractional positions:
W 0.0000 0.0000 0.5000  4 W 2.70-2.76, 2 Ir 2.87, 2 K 2.87
W 0.5000 0.5000 0.5000  4 W 2.70-2.76, 2 K 2.87, 2 Ir 2.87
Ir 0.0000 0.5000 0.0000  2 Ir 2.70, 2 K 2.76, 4 W 2.87
K 0.5000 0.0000 0.0000  2 K 2.70, 2 Ir 2.76, 4 W 2.87

***

A plane-wave DFT calculation with SCAN was carried out for TlAg2Os at its PBEsol-relaxed geometry.

* symmetry: Pmmm (47)
* energy relative to the elements: 764 meV/atom

Lattice parameters (Å, degrees): 2.7796 4.3938 5.6543 90.00 90.00 90.00
Closest atoms and distances in Å follow each position.
Fractional positions:
Ag 0.0000 0.0000 0.7659  3 Ag 2.65-2.78, 4 Os 2.92
Ag 0.0000 0.0000 0.2341  3 Ag 2.65-2.78, 4 Os 2.92
Tl 0.5000 0.5000 0.5000  2 Tl 2.78, 2 Os 2.83, 8 Ag 3.00
Os 0.5000 0.5000 0.0000  2 Os 2.78, 2 Tl 2.83, 8 Ag 2.92

***

A plane-wave DFT calculation with SCAN was carried out for YTiPPt2 at its PBEsol-relaxed geometry.

* symmetry: P4/mmm (123)
* energy relative to the elements: -251 meV/atom

Lattice parameters (Å, degrees): 4.4792 4.4792 4.9241 90.00 90.00 90.00
Closest atoms and distances in Å follow each position.
Fractional positions:
Y 0.0000 0.0000 0.5000  2 P 2.46
Pt 0.0000 0.5000 0.0000  2 P 2.24
Pt 0.5000 0.0000 0.0000  2 P 2.24
P 0.0000 0.0000 0.0000  4 Pt 2.24, 2 Y 2.46
Ti 0.5000 0.5000 0.5000  4 Y 3.17, 8 Pt 3.33

***

A plane-wave DFT calculation with SCAN was carried out for YInOs2 at its PBEsol-relaxed geometry.

* symmetry: Immm (71)
* energy relative to the elements: 425 meV/atom

Lattice parameters (Å, degrees): 3.2272 4.9163 5.3684 117.25 107.49 90.00
Closest atoms and distances in Å follow each position.
Fractional positions:
Os 0.7460 0.7460 0.4920  2 In 2.74, 2 Y 2.79, 4 Os 2.94
Os 0.2540 0.2540 0.5080  2 In 2.74, 2 Y 2.79, 4 Os 2.94
Y 0.5000 0.0000 0.0000  4 Os 2.79, 4 In 2.94
In 0.0000 0.5000 0.0000  4 Os 2.74, 4 Y 2.94

***

A plane-wave DFT calculation with SCAN was carried out for SiIrN2O at its PBEsol-relaxed geometry.

* DFT total energy: -1.48769 Ry/atom
* symmetry: P4/mmm (123)

Lattice parameters (Å, degrees): 3.7640 3.7640 4.1534 90.00 90.00 90.00
Closest atoms and distances in Å follow each position.
Fractional positions:
O 0.0000 0.0000 0.5000  2 Ir 2.08
N 0.0000 0.5000 0.0000  2 Ir 1.88
N 0.5000 0.0000 0.0000  2 Ir 1.88
Si 0.5000 0.5000 0.5000  4 O 2.66, 8 N 2.80
Ir 0.0000 0.0000 0.0000  4 N 1.88, 2 O 2.08

***

A plane-wave DFT calculation with SCAN was carried out for ZnCoRu at its PBEsol-relaxed geometry.

* symmetry: F-43m (216)
* energy relative to the elements: 730 meV/atom

Lattice parameters (Å, degrees): 3.9331 3.9331 3.9331 60.00 60.00 60.00
Closest atoms and distances in Å follow each position.
Fractional positions:
Co 0.0000 0.0000 0.0000  4 Zn 2.41
Ru 0.5000 0.5000 0.5000  4 Zn 2.41
Zn 0.2500 0.2500 0.2500  4 Co 2.41, 4 Ru 2.41

***

A plane-wave DFT calculation with SCAN was carried out for La2YTl at its PBEsol-relaxed geometry.

* symmetry: Cmmm (65)
* energy relative to the elements: -253 meV/atom

Lattice parameters (Å, degrees): 3.5497 6.0299 6.0299 111.84 90.00 90.00
Closest atoms and distances in Å follow each position.
Fractional positions:
Tl 0.5000 0.0000 0.0000  2 Y 3.38, 8 La 3.50, 2 Tl 3.55
La 0.0000 0.0000 0.5000  4 La 3.38-3.55, 4 Tl 3.50, 4 Y 3.50
La 0.0000 0.5000 0.0000  4 La 3.38-3.55, 4 Y 3.50, 4 Tl 3.50
Y 0.5000 0.5000 0.5000  2 Tl 3.38, 8 La 3.50, 2 Y 3.55

***

A plane-wave DFT calculation with SCAN was carried out for NiAg2Ru at its PBEsol-relaxed geometry.

* symmetry: C2/m (12)
* energy relative to the elements: 475 meV/atom

Lattice parameters (Å, degrees): 2.6531 4.6990 4.8185 99.71 105.98 90.00
Closest atoms and distances in Å follow each position.
Fractional positions:
Ag 0.2537 0.2540 0.5074  6 Ag 2.65-2.72, 3 Ni 2.72-2.80, 3 Ru 2.75-2.78
Ag 0.7463 0.7460 0.4926  6 Ag 2.65-2.72, 3 Ni 2.72-2.80, 3 Ru 2.75-2.78
Ni 0.0000 0.5000 0.0000  2 Ni 2.65, 4 Ru 2.70, 6 Ag 2.72-2.80
Ru 0.5000 0.0000 0.0000  2 Ru 2.65, 4 Ni 2.70, 6 Ag 2.75-2.78

***

A plane-wave DFT calculation with SCAN was carried out for ScTc2Ni at its PBEsol-relaxed geometry.

* symmetry: Cm (8)
* energy relative to the elements: 2 meV/atom

Lattice parameters (Å, degrees): 2.9462 4.5884 4.6505 102.27 90.00 108.73
Closest atoms and distances in Å follow each position.
Fractional positions:
Ni 0.4918 0.9836 0.5156  3 Sc 2.55-2.59, 4 Tc 2.64
Tc 0.0130 0.0259 0.0543  3 Tc 2.52-2.55, 2 Ni 2.64, 1 Sc 2.80
Tc 0.7563 0.5127 0.2219  3 Tc 2.52-2.55, 2 Ni 2.64, 4 Sc 2.73-2.78
Sc 0.2389 0.4778 0.7081  3 Ni 2.55-2.59, 5 Tc 2.73-2.80

***

A plane-wave DFT calculation with SCAN was carried out for LiYMo3O8 at its PBEsol-relaxed geometry.

* DFT total energy: -1.23070 Ry/atom
* symmetry: P3m1 (156)

Lattice parameters (Å, degrees): 5.1619 5.7517 5.7517 120.00 90.00 90.00
Closest atoms and distances in Å follow each position.
Fractional positions:
Li 0.3035 0.0000 0.0000  4 O 1.87-1.95
O 0.5307 0.1560 0.8440  1 Li 1.95, 2 Mo 2.05
O 0.4716 0.6667 0.3333  3 Mo 2.04
O 0.9765 0.5027 0.0054  2 Mo 1.96
O 0.5307 0.1560 0.3120  1 Li 1.95, 2 Mo 2.05
O 0.9765 0.5027 0.4973  2 Mo 1.96
O 0.9420 0.0000 0.0000  1 Li 1.87
O 0.9765 0.9946 0.4973  2 Mo 1.96
O 0.5307 0.6880 0.8440  1 Li 1.95, 2 Mo 2.05
Mo 0.7460 0.3733 0.1867  6 O 1.96-2.12
Mo 0.7460 0.8133 0.1867  6 O 1.96-2.12
Mo 0.7460 0.8133 0.6267  6 O 1.96-2.12
Y 0.2714 0.3333 0.6667  6 O 2.22-2.27

***

A plane-wave DFT calculation with SCAN was carried out for TiCd3Os at its PBEsol-relaxed geometry.

* symmetry: Pm-3m (221)
* energy relative to the elements: 1974 meV/atom

Lattice parameters (Å, degrees): 5.0012 5.0012 5.0012 90.00 90.00 90.00
Closest atoms and distances in Å follow each position.
Fractional positions:
Os 0.5000 0.5000 0.5000  12 Cd 3.54
Ti 0.0000 0.0000 0.0000  6 Cd 2.50
Cd 0.5000 0.0000 0.0000  2 Ti 2.50
Cd 0.0000 0.0000 0.5000  2 Ti 2.50
Cd 0.0000 0.5000 0.0000  2 Ti 2.50